This record from Alexandria describes a relaxed Zn7CuAu4 crystal. The functional is PBE-GGA.

Properties
Calculated formation energy: -0.143 eV/atom

Geometry as CIF:
```
data_Zn7CuAu4
_chemical_formula_sum 'Zn7 Cu1 Au4'
_space_group_name_H-M_alt 'P 1'
_space_group_IT_number 1
_space_group_name_Hall 'P 1'
_cell_length_a 5.065
_cell_length_b 5.388
_cell_length_c 7.170
_cell_angle_alpha 100.22
_cell_angle_beta 98.33
_cell_angle_gamma 94.18
loop_
_atom_site_label
_atom_site_type_symbol
_atom_site_fract_x
_atom_site_fract_y
_atom_site_fract_z
Zn1 Zn 0.000 0.000 0.000
Zn2 Zn 0.152 0.350 0.642
Zn3 Zn 0.284 0.962 0.348
Zn4 Zn 0.490 0.745 0.033
Zn5 Zn 0.510 0.255 0.967
Zn6 Zn 0.716 0.038 0.652
Zn7 Zn 0.848 0.650 0.358
Cu1 Cu 0.000 0.500 0.000
Au1 Au 0.222 0.865 0.698
Au2 Au 0.325 0.456 0.307
Au3 Au 0.675 0.544 0.693
Au4 Au 0.778 0.135 0.302
```



This record from Alexandria describes a relaxed KFeRu crystal. The functional is PBE-GGA.

Properties
Offset from the most stable computed form: 0.867 eV per atom
Calculated formation energy: 1.657 eV/atom

Geometry as CIF:
```
data_KFeRu
_chemical_formula_sum 'K1 Fe1 Ru1'
_space_group_name_H-M_alt 'P 1'
_space_group_IT_number 1
_space_group_name_Hall 'P 1'
_cell_length_a 4.531
_cell_length_b 4.531
_cell_length_c 4.531
_cell_angle_alpha 60.00
_cell_angle_beta 60.00
_cell_angle_gamma 60.00
loop_
_atom_site_label
_atom_site_type_symbol
_atom_site_fract_x
_atom_site_fract_y
_atom_site_fract_z
K1 K 0.000 0.000 0.000
Fe1 Fe 0.500 0.500 0.500
Ru1 Ru 0.250 0.250 0.250
```



This record from Alexandria describes a relaxed Th4GeSbTe2 crystal. The functional is PBE-GGA.

Properties
Energy relative to the elements, uncorrected: -0.985 eV/atom

Geometry as CIF:
```
data_Th4GeSbTe2
_chemical_formula_sum 'Th4 Ge1 Sb1 Te2'
_space_group_name_H-M_alt 'P 1'
_space_group_IT_number 1
_space_group_name_Hall 'P 1'
_cell_length_a 7.711
_cell_length_b 4.422
_cell_length_c 7.741
_cell_angle_alpha 90.00
_cell_angle_beta 109.18
_cell_angle_gamma 90.00
loop_
_atom_site_label
_atom_site_type_symbol
_atom_site_fract_x
_atom_site_fract_y
_atom_site_fract_z
Th1 Th 0.224 0.000 0.226
Th2 Th 0.234 0.500 0.762
Th3 Th 0.766 0.500 0.238
Th4 Th 0.776 0.000 0.774
Ge1 Ge 0.000 0.500 0.000
Sb1 Sb 0.000 0.000 0.500
Te1 Te 0.500 0.000 0.000
Te2 Te 0.500 0.500 0.500
```



| no. | DOS at the Fermi energy (states/eV/f.u.) | ρ (Mg/m³) |
| --- | --- | --- |
| 1 | 2.40 | 11.5 |
| 2 | 3.02 | 4.9 |
| 3 | 6.07 | 9.2 |